First-principles (GGA-PBE) data for a relaxed LaY3Ti4O12 crystal, as listed in the Alexandria database.

abc: 7.759 5.411 5.723
angles: 89.93 90.00 90.00
Each line ends with the local moment (μB).
Sites, in units of the cell vectors:
1 La 0.000 0.486 0.441  0.10
2 Y 0.000 0.023 0.933  0.04
3 Y 0.500 0.521 0.573  0.05
4 Y 0.500 0.981 0.068  0.05
5 Ti 0.254 0.001 0.501  0.83
6 Ti 0.747 0.498 0.002  0.83
7 Ti 0.746 0.001 0.501  0.83
8 Ti 0.253 0.498 0.002  0.83
9 O 0.198 0.185 0.193  -0.01
10 O 0.797 0.299 0.709  -0.01
11 O 0.690 0.801 0.797  -0.01
12 O 0.309 0.693 0.302  -0.01
13 O 0.310 0.801 0.797  -0.01
14 O 0.691 0.693 0.302  -0.01
15 O 0.802 0.185 0.193  -0.01
16 O 0.203 0.299 0.709  -0.01
17 O 0.000 0.616 0.023  -0.01
18 O 0.000 0.915 0.541  0.00
19 O 0.500 0.383 0.960  0.00
20 O 0.500 0.122 0.453  0.00

Properties
- formation energy (no corrections) (eV per formula unit) = -63.81
- space group = Pm (6)

---

First-principles (GGA-PBE) data for a relaxed LaY3Ti4O14 crystal, as listed in the Alexandria database.

abc: 7.254 7.254 7.254
angles: 60.05 60.05 60.05
Sites, in units of the cell vectors:
1 La 0.500 0.500 0.500
2 Y 0.000 0.500 0.500
3 Y 0.500 0.500 0.000
4 Y 0.500 0.000 0.500
5 Ti 0.000 0.000 0.000
6 Ti 0.500 0.000 0.000
7 Ti 0.000 0.000 0.500
8 Ti 0.000 0.500 0.000
9 O 0.926 0.328 0.328
10 O 0.328 0.922 0.922
11 O 0.328 0.328 0.926
12 O 0.922 0.922 0.328
13 O 0.922 0.328 0.922
14 O 0.328 0.926 0.328
15 O 0.074 0.672 0.672
16 O 0.672 0.078 0.078
17 O 0.672 0.672 0.074
18 O 0.078 0.078 0.672
19 O 0.078 0.672 0.078
20 O 0.672 0.074 0.672
21 O 0.370 0.370 0.370
22 O 0.630 0.630 0.630

Properties
- formation energy (no corrections) (eV per formula unit) = -72.66
- space group = R-3m (166)

---

First-principles (GGA-PBE) data for a relaxed La3YTi4O14 crystal, as listed in the Alexandria database.

abc: 7.361 7.361 7.361
angles: 60.02 60.02 60.02
Sites, in units of the cell vectors:
1 La 0.000 0.500 0.500
2 La 0.500 0.500 0.000
3 La 0.500 0.000 0.500
4 Y 0.500 0.500 0.500
5 Ti 0.000 0.000 0.000
6 Ti 0.500 0.000 0.000
7 Ti 0.000 0.000 0.500
8 Ti 0.000 0.500 0.000
9 O 0.380 0.380 0.380
10 O 0.620 0.620 0.620
11 O 0.922 0.325 0.325
12 O 0.324 0.926 0.926
13 O 0.325 0.325 0.922
14 O 0.926 0.926 0.324
15 O 0.926 0.324 0.926
16 O 0.325 0.922 0.325
17 O 0.078 0.675 0.675
18 O 0.676 0.074 0.074
19 O 0.675 0.675 0.078
20 O 0.074 0.074 0.676
21 O 0.074 0.676 0.074
22 O 0.675 0.078 0.675

Properties
- formation energy (no corrections) (eV per formula unit) = -72.47
- space group = R-3m (166)

---

First-principles (GGA-PBE) data for a relaxed LaYTi2O6 crystal, as listed in the Alexandria database.

abc: 5.468 5.717 7.821
angles: 90.00 90.00 90.00
Each line ends with the local moment (μB).
Sites, in units of the cell vectors:
1 La 0.236 0.446 0.500  0.09
2 La 0.764 0.946 0.500  0.09
3 Y 0.266 0.570 0.000  0.04
4 Y 0.734 0.070 0.000  0.04
5 Ti 0.752 0.502 0.756  0.80
6 Ti 0.248 0.002 0.244  0.80
7 Ti 0.752 0.502 0.244  0.80
8 Ti 0.248 0.002 0.756  0.80
9 O 0.134 0.959 0.000  0.00
10 O 0.866 0.459 0.000  0.00
11 O 0.330 0.019 0.500  -0.01
12 O 0.670 0.519 0.500  -0.01
13 O 0.551 0.799 0.810  -0.01
14 O 0.449 0.299 0.190  -0.01
15 O 0.946 0.202 0.290  -0.01
16 O 0.054 0.702 0.710  -0.01
17 O 0.946 0.202 0.710  -0.01
18 O 0.054 0.702 0.290  -0.01
19 O 0.551 0.799 0.190  -0.01
20 O 0.449 0.299 0.810  -0.01

Properties
- formation energy (no corrections) (eV per formula unit) = -31.95
- space group = Pmc2_1 (26)

---

First-principles (GGA-PBE) data for a relaxed LaZrTi2O8 crystal, as listed in the Alexandria database.

abc: 5.167 5.167 6.688
angles: 112.72 112.72 90.00
Each line ends with the local moment (μB).
Sites, in units of the cell vectors:
1 La 0.750 0.250 0.500  0.01
2 Zr 0.000 0.000 0.000  -0.02
3 Ti 0.500 0.500 0.000  -0.03
4 Ti 0.250 0.750 0.500  -0.04
5 O 0.760 0.836 0.152  0.12
6 O 0.392 0.315 0.152  0.12
7 O 0.602 0.695 0.683  0.11
8 O 0.081 0.988 0.683  0.11
9 O 0.012 0.398 0.317  0.11
10 O 0.305 0.919 0.317  0.11
11 O 0.164 0.608 0.848  0.12
12 O 0.685 0.240 0.848  0.12

Properties
- formation energy (no corrections) (eV per formula unit) = -35.98
- space group = I-4 (82)

---

First-principles (GGA-PBE) data for a relaxed La3TlO crystal, as listed in the Alexandria database.

abc: 8.849 8.849 8.849
angles: 43.21 43.21 43.21
Sites, in units of the cell vectors:
1 Tl 0.336 0.336 0.336
2 Tl 0.664 0.664 0.664
3 O 0.167 0.167 0.167
4 O 0.833 0.833 0.833
5 La 0.437 0.092 0.791
6 La 0.092 0.791 0.437
7 La 0.209 0.563 0.908
8 La 0.908 0.209 0.563
9 La 0.563 0.908 0.209
10 La 0.791 0.437 0.092

Properties
- formation energy (no corrections) (eV per formula unit) = -5.68
- space group = R-3 (148)